No. 1
PrTm2Fe | GGA-PBE | optimized geometry

Cell and atoms, written as extended XYZ:
```
4
Lattice="-2.5696 -1.9307 -0.9302 1.0716 0.1001 -3.1682 5.0213 -7.3888 1.4648" Properties=species:S:1:pos:R:3 pbc="T T T"
Pr 1.7617 -4.6097 -1.3167
Tm 4.1501 -6.1067 1.2107
Tm 0.8713 -1.2821 0.2542
Fe -0.7490 -0.9153 -2.0492
```

ΔE to the lowest computed polymorph   0 meV per atom
ΔE_f   0.031 eV/atom
Symmetry   P4/mmm (123)


No. 2
PrTmFe4 | GGA-PBE | optimized geometry

Cell and atoms, written as extended XYZ:
```
6
Lattice="-4.0818 2.5508 -1.9563 -0.3581 0.7896 -5.1228 -3.5709 -2.5538 -2.7788" Properties=species:S:1:pos:R:3 pbc="T T T"
Pr -2.0027 0.1966 -2.4645
Tm 0.0000 0.0000 0.0000
Fe -3.2176 1.7750 -4.7710
Fe -4.8316 0.0954 -3.5935
Fe -5.0115 0.4921 -6.1670
Fe -2.9609 -0.7893 -5.1842
```

ΔE_f   -0.006 eV/atom
Symmetry   F-43m (216)


No. 3
PrTm6Fe2 | GGA-PBE | optimized geometry

Cell and atoms, written as extended XYZ:
```
18
Lattice="-7.5024 3.3275 -2.0581 5.6579 0.8086 -6.2393 -1.1421 -8.2432 1.5294" Properties=species:S:1:pos:R:3 pbc="T T T"
Pr 2.2579 -3.7173 -2.3549
Pr 0.0000 0.0000 0.0000
Tm -2.1945 0.2732 -2.5352
Tm -0.7922 -4.3803 -4.2328
Tm -2.9568 1.9826 -5.9645
Tm -0.0298 -6.0897 -0.8036
Tm 2.6021 1.3653 -5.2825
Tm -5.5887 -5.4724 -1.4855
Tm -2.0025 -1.2531 -5.5641
Tm -0.9841 -2.8540 -1.2039
Tm 2.5901 -3.9368 -5.7461
Tm -5.5768 -0.1703 -1.0219
Tm -3.8134 -3.0734 -2.8611
Tm 0.8268 -1.0337 -3.9070
Fe -2.5543 -5.3686 -2.1083
Fe -0.4323 1.2615 -4.6597
Fe -3.3596 -1.9104 -0.2055
Fe -5.2849 -3.0053 -0.3232
```

ΔE_f   0.044 eV/atom
Symmetry   Immm (71)


No. 4
PrTmZnFe | GGA-PBE | optimized geometry

Cell and atoms, written as extended XYZ:
```
4
Lattice="-1.7507 -4.1787 2.0793 3.0308 -3.8958 0.6981 1.4070 -1.2685 4.6111" Properties=species:S:1:pos:R:3 pbc="T T T"
Pr 2.0153 -7.0073 5.5414
Zn 0.0000 0.0000 0.0000
Tm 0.6718 -2.3358 1.8471
Fe 1.3435 -4.6715 3.6943
```

ΔE_f   -0.019 eV/atom
Symmetry   F-43m (216)


> Which of these has the lowest ΔE_f?

PrTmZnFe